The following is a GGA-PBEsol calculation of a relaxed SrHfTe2Pd crystal, from Alexandria via LeMat-Bulk.

a b c (Å): 4.951 5.493 5.493
angles (deg): 90.00 90.00 90.00
Fractional positions:
1 Te 0.000 0.000 0.500
2 Te 0.000 0.500 0.000
3 Sr 0.500 0.500 0.500
4 Hf 0.000 0.000 0.000
5 Pd 0.500 0.000 0.000

Computed properties:
Final energy in Ry per atom: -0.4161
Formation energy without anion corrections in eV per atom: -0.591


The following is a GGA-PBEsol calculation of a relaxed HfTaPd3 crystal, from Alexandria via LeMat-Bulk.

a b c (Å): 4.702 4.702 4.702
angles (deg): 90.00 90.00 90.00
Fractional positions:
1 Pd 0.000 0.000 0.500
2 Pd 0.500 0.000 0.000
3 Pd 0.000 0.500 0.000
4 Hf 0.500 0.500 0.500
5 Ta 0.000 0.000 0.000

Computed properties:
Energy of formation from the pure elements in eV/atom: 0.818
Final energy in Ry per atom: -0.5415


The following is a GGA-PBEsol calculation of a relaxed Hf2TcPd crystal, from Alexandria via LeMat-Bulk.

a b c (Å): 4.586 4.586 4.586
angles (deg): 60.00 60.00 60.00
Fractional positions:
1 Pd 0.500 0.500 0.500
2 Hf 0.750 0.750 0.750
3 Hf 0.250 0.250 0.250
4 Tc 0.000 0.000 0.000

Computed properties:
Energy of formation from the pure elements in eV/atom: -0.614
Final energy in Ry per atom: -0.7476


The following is a GGA-PBEsol calculation of a relaxed Hf2TePd crystal, from Alexandria via LeMat-Bulk.

a b c (Å): 5.971 6.072 6.072
angles (deg): 76.01 60.55 60.55
Fractional positions:
1 Hf 0.602 0.023 0.523
2 Hf 0.148 0.977 0.477
3 Hf 0.375 0.477 0.023
4 Hf 0.875 0.523 0.977
5 Te 0.750 0.500 0.500
6 Te 0.000 0.000 0.000
7 Pd 0.500 0.000 0.000
8 Pd 0.250 0.500 0.500

Computed properties:
Final energy in Ry per atom: -0.5808
Formation energy without anion corrections in eV per atom: -0.280


The following is a GGA-PBEsol calculation of a relaxed HfPd3W crystal, from Alexandria via LeMat-Bulk.

a b c (Å): 4.697 4.697 4.697
angles (deg): 90.00 90.00 90.00
Fractional positions:
1 Pd 0.500 0.000 0.000
2 Pd 0.000 0.000 0.500
3 Pd 0.000 0.500 0.000
4 Hf 0.500 0.500 0.500
5 W 0.000 0.000 0.000

Computed properties:
Energy of formation from the pure elements in eV/atom: 1.082
Final energy in Ry per atom: -0.5406


The following is a GGA-PBEsol calculation of a relaxed Hf2PdW2 crystal, from Alexandria via LeMat-Bulk.

a b c (Å): 3.898 3.898 6.964
angles (deg): 106.25 106.25 90.00
Fractional positions:
1 Pd 0.000 0.000 0.000
2 Hf 0.750 0.250 0.500
3 Hf 0.250 0.750 0.500
4 W 0.409 0.409 0.818
5 W 0.591 0.591 0.182

Computed properties:
Energy of formation from the pure elements in eV/atom: 1.141
Final energy in Ry per atom: -0.7185


The following is a GGA-PBEsol calculation of a relaxed HfPdW3 crystal, from Alexandria via LeMat-Bulk.

a b c (Å): 4.665 4.665 4.665
angles (deg): 90.00 90.00 90.00
Fractional positions:
1 Pd 0.500 0.500 0.500
2 W 0.000 0.500 0.000
3 W 0.500 0.000 0.000
4 W 0.000 0.000 0.500
5 Hf 0.000 0.000 0.000

Computed properties:
Energy of formation from the pure elements in eV/atom: 2.605
Final energy in Ry per atom: -0.6595


The following is a GGA-PBEsol calculation of a relaxed Hf2Zn2Pd crystal, from Alexandria via LeMat-Bulk.

a b c (Å): 3.817 6.621 6.621
angles (deg): 90.00 90.00 90.00
Fractional positions:
1 Zn 0.000 0.630 0.130
2 Zn 0.000 0.370 0.870
3 Zn 0.000 0.130 0.370
4 Zn 0.000 0.870 0.630
5 Hf 0.500 0.329 0.171
6 Hf 0.500 0.671 0.829
7 Hf 0.500 0.171 0.671
8 Hf 0.500 0.829 0.329
9 Pd 0.000 0.000 0.000
10 Pd 0.000 0.500 0.500

Computed properties:
Energy of formation from the pure elements in eV/atom: -0.379
Final energy in Ry per atom: -0.4708


The following is a GGA-PBEsol calculation of a relaxed HfZr2Pd2 crystal, from Alexandria via LeMat-Bulk.

a b c (Å): 3.308 7.576 7.576
angles (deg): 90.00 90.00 90.00
Fractional positions:
1 Pd 0.000 0.627 0.127
2 Pd 0.000 0.873 0.627
3 Pd 0.000 0.373 0.873
4 Pd 0.000 0.127 0.373
5 Zr 0.500 0.172 0.672
6 Zr 0.500 0.828 0.328
7 Zr 0.500 0.672 0.828
8 Zr 0.500 0.328 0.172
9 Hf 0.000 0.000 0.000
10 Hf 0.000 0.500 0.500

Computed properties:
Energy of formation from the pure elements in eV/atom: -0.508
Final energy in Ry per atom: -0.6341


The following is a GGA-PBEsol calculation of a relaxed Pr2HfS5 crystal, from Alexandria via LeMat-Bulk.

a b c (Å): 7.268 8.044 11.306
angles (deg): 90.00 90.00 90.00
Fractional positions:
1 Hf 0.927 0.250 0.490
2 Hf 0.573 0.250 0.990
3 Hf 0.073 0.750 0.510
4 Hf 0.427 0.750 0.010
5 S 0.941 0.250 0.994
6 S 0.144 0.250 0.309
7 S 0.356 0.250 0.809
8 S 0.559 0.250 0.494
9 S 0.676 0.964 0.925
10 S 0.176 0.464 0.575
11 S 0.662 0.250 0.208
12 S 0.824 0.964 0.425
13 S 0.856 0.750 0.691
14 S 0.644 0.750 0.191
15 S 0.162 0.750 0.292
16 S 0.338 0.750 0.792
17 S 0.324 0.036 0.075
18 S 0.676 0.536 0.925
19 S 0.176 0.036 0.575
20 S 0.838 0.250 0.708
21 S 0.059 0.750 0.006
22 S 0.324 0.464 0.075
23 S 0.824 0.536 0.425
24 S 0.441 0.750 0.506
25 Pr 0.055 0.500 0.828
26 Pr 0.945 0.500 0.172
27 Pr 0.445 0.000 0.328
28 Pr 0.445 0.500 0.328
29 Pr 0.945 0.000 0.172
30 Pr 0.555 0.500 0.672
31 Pr 0.055 0.000 0.828
32 Pr 0.555 0.000 0.672

Computed properties:
Final energy in Ry per atom: -0.5381
Formation energy without anion corrections in eV per atom: -1.972


The following is a GGA-PBEsol calculation of a relaxed Hf2Pt3 crystal, from Alexandria via LeMat-Bulk.

a b c (Å): 3.434 3.434 7.673
angles (deg): 102.93 102.93 90.00
Fractional positions:
1 Pt 0.500 0.500 0.000
2 Pt 0.695 0.695 0.390
3 Pt 0.305 0.305 0.610
4 Hf 0.111 0.111 0.221
5 Hf 0.889 0.889 0.779

Computed properties:
Energy of formation from the pure elements in eV/atom: -1.114
Final energy in Ry per atom: -0.6978


The following is a GGA-PBEsol calculation of a relaxed HfPt3 crystal, from Alexandria via LeMat-Bulk.

a b c (Å): 3.978 3.978 3.978
angles (deg): 90.00 90.00 90.00
Fractional positions:
1 Pt 0.500 0.000 0.500
2 Pt 0.000 0.500 0.500
3 Pt 0.500 0.500 0.000
4 Hf 0.000 0.000 0.000

Computed properties:
Energy of formation from the pure elements in eV/atom: -1.116
Final energy in Ry per atom: -0.6588


| no. | M_tot (μB/cell) |
| --- | --- |
| 1 | 0.0 |
| 2 | 0.0 |
| 3 | 0.0 |
| 4 | 0.0 |
| 5 | 0.0 |
| 6 | 0.0 |
| 7 | 0.0 |
| 8 | 0.0 |
| 9 | 0.0 |
| 10 | 0.0 |
| 11 | 0.0 |
| 12 | 0.0 |